1.
{"formula": "Pm3YHo3", "functional": "PBE-GGA", "state": "optimized geometry", "dft_energy_ev_per_fu": -32.7, "polymorph_energy_mev_per_atom": 88.4, "cell": [[4.953, 2.860, 2.767], [-4.953, 2.860, 2.767], [0.000, -5.720, 2.767]], "species": ["Pm", "Pm", "Pm", "Y", "Ho", "Ho", "Ho"], "frac_coords": [[0.095, 0.453, 0.453], [0.453, 0.095, 0.453], [0.453, 0.453, 0.095], [0.040, 0.040, 0.040], [0.493, 0.894, 0.894], [0.894, 0.493, 0.894], [0.894, 0.894, 0.493]]}

---

2.
{"formula": "ZrTa2C", "functional": "PBE-GGA", "state": "optimized geometry", "dft_energy_ev_per_fu": -42.7, "cell": [[1.570, 0.906, 7.629], [-1.570, 0.906, 7.629], [0.000, -1.813, 7.629]], "species": ["Zr", "Ta", "Ta", "C"], "frac_coords": [[0.000, 0.000, 0.000], [0.221, 0.221, 0.221], [0.449, 0.449, 0.449], [0.729, 0.729, 0.729]]}

---

3.
{"formula": "Ba2ScCl", "functional": "PBE-GGA", "state": "optimized geometry", "dft_energy_ev_per_fu": -13.1, "polymorph_energy_mev_per_atom": 356.6, "e_form_raw_ev_per_atom": -0.258, "cell": [[-2.371, 2.371, 7.634], [2.371, -2.371, 7.634], [2.371, 2.371, -7.634]], "species": ["Ba", "Ba", "Sc", "Cl"], "frac_coords": [[0.000, 0.000, 0.000], [0.750, 0.250, 0.500], [0.500, 0.500, 0.000], [0.250, 0.750, 0.500]]}

---

4.
{"formula": "TaZn2Re", "functional": "PBE-GGA", "state": "optimized geometry", "dft_energy_ev_per_fu": -26.6, "polymorph_energy_mev_per_atom": 41.6, "cell": [[1.597, -2.256, 0.000], [1.597, 2.256, 0.000], [0.000, 0.000, 8.756]], "species": ["Ta", "Zn", "Zn", "Re"], "frac_coords": [[0.000, 0.000, 0.000], [0.000, 0.000, 0.496], [0.500, 0.500, 0.740], [0.500, 0.500, 0.250]]}

---

5.
{"formula": "SrZrPb2", "functional": "PBE-GGA", "state": "optimized geometry", "dft_energy_ev_per_fu": -17.6, "cell": [[4.131, 0.000, 0.000], [0.000, 4.131, 0.000], [0.000, 0.000, 8.190]], "species": ["Sr", "Zr", "Pb", "Pb"], "frac_coords": [[0.000, 0.000, 0.000], [0.500, 0.500, 0.398], [0.000, 0.000, 0.413], [0.500, 0.500, 0.761]]}

---

6.
{"formula": "TaZnTcP2", "functional": "PBE-GGA", "state": "optimized geometry", "dft_energy_ev_per_fu": -30.5, "cell": [[4.465, 0.000, 0.000], [0.000, 4.465, 0.000], [0.000, 0.000, 5.116]], "species": ["Ta", "Zn", "Tc", "P", "P"], "frac_coords": [[0.000, 0.000, 0.000], [0.500, 0.500, 0.000], [0.000, 0.000, 0.500], [0.000, 0.500, 0.500], [0.500, 0.000, 0.500]]}

---

7.
{"formula": "Rb2NbGaAs", "functional": "PBE-GGA", "state": "optimized geometry", "dft_energy_ev_per_fu": -16.8, "cell": [[6.691, 0.000, 0.000], [0.000, 6.691, 0.000], [0.000, 0.000, 5.022]], "species": ["Rb", "Rb", "Nb", "Ga", "As"], "frac_coords": [[0.000, 0.500, 0.000], [0.500, 0.000, 0.000], [0.000, 0.000, 0.500], [0.500, 0.500, 0.500], [0.000, 0.000, 0.000]]}

---

8.
{"formula": "PSe2Br", "functional": "PBE-GGA", "state": "optimized geometry", "dft_energy_ev_per_fu": -12.0, "polymorph_energy_mev_per_atom": 525.1, "e_form_raw_ev_per_atom": 0.506, "cell": [[3.778, 0.000, 0.000], [0.000, 3.791, 0.000], [0.000, 0.000, 6.697]], "species": ["P", "Se", "Se", "Br"], "frac_coords": [[0.000, 0.000, 0.000], [0.000, 0.000, 0.500], [0.500, 0.500, 0.500], [0.500, 0.500, 0.000]]}

---

9.
{"formula": "FeCo2ReAg", "functional": "PBE-GGA", "state": "optimized geometry", "dft_energy_ev_per_fu": -28.9, "cell": [[4.127, 0.000, 0.000], [0.000, 4.127, 0.000], [0.000, 0.000, 4.609]], "species": ["Fe", "Co", "Co", "Re", "Ag"], "frac_coords": [[0.000, 0.000, 0.000], [0.000, 0.500, 0.000], [0.500, 0.000, 0.000], [0.500, 0.500, 0.500], [0.000, 0.000, 0.500]]}

---

10.
{"formula": "YMg2Mo", "functional": "PBE-GGA", "state": "optimized geometry", "dft_energy_ev_per_fu": -17.7, "polymorph_energy_mev_per_atom": 416.2, "cell": [[-2.078, 2.078, 10.912], [2.078, -2.078, 10.912], [2.078, 2.078, -10.912]], "species": ["Y", "Y", "Mg", "Mg", "Mg", "Mg", "Mo", "Mo"], "frac_coords": [[0.000, 0.000, 0.000], [0.750, 0.250, 0.500], [0.152, 0.625, 0.027], [0.375, 0.402, 0.527], [0.598, 0.125, 0.973], [0.875, 0.848, 0.473], [0.250, 0.750, 0.500], [0.500, 0.500, 0.000]]}

---

11.
{"formula": "SbIrOs2", "functional": "PBE-GGA", "state": "optimized geometry", "dft_energy_ev_per_fu": -32.9, "e_form_raw_ev_per_atom": 0.637, "cell": [[1.468, 0.848, 8.585], [-1.468, 0.848, 8.585], [0.000, -1.695, 8.585]], "species": ["Sb", "Ir", "Os", "Os"], "frac_coords": [[0.000, 0.000, 0.000], [0.500, 0.500, 0.500], [0.250, 0.250, 0.250], [0.750, 0.750, 0.750]]}

---

12.
{"formula": "TbSc2Ge", "functional": "PBE-GGA", "state": "optimized geometry", "dft_energy_ev_per_fu": -23.4, "cell": [[4.465, 0.000, 0.000], [0.000, 4.465, 0.000], [0.000, 0.000, 4.475]], "species": ["Tb", "Sc", "Sc", "Ge"], "frac_coords": [[0.000, 0.000, 0.000], [0.000, 0.500, 0.500], [0.500, 0.000, 0.500], [0.500, 0.500, 0.000]]}

---

13.
{"formula": "DyMnCoSi3", "functional": "PBE-GGA", "state": "optimized geometry", "dft_energy_ev_per_fu": -39.1, "e_form_raw_ev_per_atom": -0.319, "cell": [[2.951, -5.712, 0.000], [2.951, 5.712, 0.000], [0.000, 0.000, 5.829]], "species": ["Dy", "Dy", "Mn", "Mn", "Co", "Co", "Si", "Si", "Si", "Si", "Si", "Si"], "frac_coords": [[0.244, 0.756, 0.750], [0.756, 0.244, 0.250], [0.021, 0.979, 0.250], [0.979, 0.021, 0.750], [0.391, 0.609, 0.250], [0.609, 0.391, 0.750], [0.207, 0.793, 0.250], [0.295, 0.295, 0.000], [0.295, 0.295, 0.500], [0.705, 0.705, 0.000], [0.705, 0.705, 0.500], [0.793, 0.207, 0.750]]}

---

14.
{"formula": "Ac2VSi2N6", "functional": "PBE-GGA", "state": "optimized geometry", "dft_energy_ev_per_fu": -87.8, "e_form_raw_ev_per_atom": -0.878, "cell": [[2.835, 1.637, 5.369], [-2.835, 1.637, 5.369], [0.000, -3.273, 5.369]], "species": ["Ac", "Ac", "V", "Si", "Si", "N", "N", "N", "N", "N", "N"], "frac_coords": [[0.218, 0.218, 0.218], [0.782, 0.782, 0.782], [0.000, 0.000, 0.000], [0.415, 0.415, 0.415], [0.585, 0.585, 0.585], [0.242, 0.242, 0.753], [0.242, 0.753, 0.242], [0.247, 0.758, 0.758], [0.753, 0.242, 0.242], [0.758, 0.247, 0.758], [0.758, 0.758, 0.247]]}

---

15.
{"formula": "Sr2ZnCu6Rh", "functional": "PBE-GGA", "state": "optimized geometry", "dft_energy_ev_per_fu": -37.5, "cell": [[4.988, 0.000, 0.000], [2.489, 6.174, 0.000], [2.483, -0.122, 6.230]], "species": ["Sr", "Sr", "Zn", "Cu", "Cu", "Cu", "Cu", "Cu", "Cu", "Rh"], "frac_coords": [[0.050, 0.219, 0.180], [0.950, 0.781, 0.820], [0.500, 0.000, 0.500], [0.003, 0.271, 0.718], [0.338, 0.412, 0.413], [0.493, 0.729, 0.282], [0.507, 0.271, 0.718], [0.662, 0.588, 0.587], [0.997, 0.729, 0.282], [0.500, 0.500, 0.000]]}

---

16.
{"formula": "Sm6Te5As", "functional": "PBE-GGA", "state": "optimized geometry", "dft_energy_ev_per_fu": -66.0, "e_form_raw_ev_per_atom": -1.447, "cell": [[3.822, -6.622, 0.000], [3.822, 6.622, 0.000], [-2.532, 0.000, 7.220]], "species": ["Sm", "Sm", "Sm", "Sm", "Sm", "Sm", "Te", "Te", "Te", "Te", "Te", "As"], "frac_coords": [[0.076, 0.384, 0.731], [0.227, 0.227, 0.263], [0.384, 0.076, 0.731], [0.616, 0.924, 0.269], [0.773, 0.773, 0.737], [0.924, 0.616, 0.269], [0.175, 0.825, 0.000], [0.335, 0.665, 0.500], [0.500, 0.500, 0.000], [0.665, 0.335, 0.500], [0.825, 0.175, 0.000], [0.000, 0.000, 0.500]]}

---

17.
{"formula": "MnBe5Si2", "functional": "PBE-GGA", "state": "optimized geometry", "dft_energy_ev_per_fu": -38.5, "e_form_raw_ev_per_atom": 0.019, "cell": [[2.820, -3.217, 0.000], [2.820, 3.217, 0.000], [-0.606, 0.000, 4.372]], "species": ["Mn", "Be", "Be", "Be", "Be", "Be", "Si", "Si"], "frac_coords": [[0.000, 0.000, 0.000], [0.004, 0.004, 0.508], [0.143, 0.506, 0.763], [0.356, 0.356, 0.343], [0.506, 0.143, 0.763], [0.657, 0.657, 0.666], [0.492, 0.879, 0.193], [0.879, 0.492, 0.193]]}

---

18.
{"formula": "LiInP2", "functional": "PBE-GGA", "state": "optimized geometry", "dft_energy_ev_per_fu": -15.3, "cell": [[2.726, -3.531, 0.000], [2.726, 3.531, 0.000], [-0.010, 0.000, 3.651]], "species": ["Li", "In", "P", "P"], "frac_coords": [[0.000, 0.000, 0.000], [0.500, 0.500, 0.000], [0.000, 0.500, 0.500], [0.500, 0.000, 0.500]]}

---

19.
{"formula": "In2MoP", "functional": "PBE-GGA", "state": "optimized geometry", "dft_energy_ev_per_fu": -21.1, "cell": [[-1.595, 2.481, 4.982], [1.595, -2.481, 4.982], [1.595, 2.481, -4.982]], "species": ["In", "In", "Mo", "P"], "frac_coords": [[0.000, 0.000, 0.000], [0.710, 0.210, 0.500], [0.448, 0.448, 0.000], [0.273, 0.773, 0.500]]}

---

20.
{"formula": "HgICl", "functional": "PBE-GGA", "state": "optimized geometry", "dft_energy_ev_per_fu": -5.0, "e_form_raw_ev_per_atom": -0.422, "cell": [[8.256, 0.000, 0.000], [0.000, 8.578, 0.000], [-3.617, 0.000, 7.191]], "species": ["Hg", "Hg", "Hg", "Hg", "I", "I", "I", "I", "Cl", "Cl", "Cl", "Cl"], "frac_coords": [[0.160, 0.209, 0.166], [0.160, 0.291, 0.666], [0.840, 0.709, 0.334], [0.840, 0.791, 0.834], [0.131, 0.612, 0.311], [0.131, 0.888, 0.811], [0.869, 0.112, 0.189], [0.869, 0.388, 0.689], [0.401, 0.206, 0.608], [0.401, 0.294, 0.108], [0.599, 0.706, 0.892], [0.599, 0.794, 0.392]]}

---

21.
{"formula": "Sm2PaPdS5", "functional": "PBE-GGA", "state": "optimized geometry", "dft_energy_ev_per_fu": -59.4, "e_form_raw_ev_per_atom": -1.621, "cell": [[1.943, -8.155, 0.000], [1.943, 8.155, 0.000], [0.000, 0.000, 12.156]], "species": ["Sm", "Sm", "Sm", "Sm", "Pa", "Pa", "Pd", "Pd", "S", "S", "S", "S", "S", "S", "S", "S", "S", "S"], "frac_coords": [[0.106, 0.894, 0.500], [0.115, 0.885, 0.842], [0.885, 0.115, 0.342], [0.894, 0.106, 0.000], [0.182, 0.818, 0.170], [0.818, 0.182, 0.670], [0.442, 0.558, 0.563], [0.558, 0.442, 0.063], [0.018, 0.982, 0.171], [0.299, 0.701, 0.510], [0.302, 0.698, 0.829], [0.347, 0.653, 0.170], [0.493, 0.507, 0.888], [0.507, 0.493, 0.388], [0.653, 0.347, 0.670], [0.698, 0.302, 0.329], [0.701, 0.299, 0.010], [0.982, 0.018, 0.671]]}

---

22.
{"formula": "Li2SiPt2", "functional": "PBE-GGA", "state": "optimized geometry", "dft_energy_ev_per_fu": -23.0, "polymorph_energy_mev_per_atom": 377.1, "e_form_raw_ev_per_atom": -0.343, "cell": [[6.861, 0.000, 0.000], [0.000, 6.861, 0.000], [0.000, 0.000, 2.770]], "species": ["Li", "Li", "Li", "Li", "Si", "Si", "Pt", "Pt", "Pt", "Pt"], "frac_coords": [[0.110, 0.390, 0.000], [0.390, 0.890, 0.000], [0.610, 0.110, 0.000], [0.890, 0.610, 0.000], [0.000, 0.000, 0.000], [0.500, 0.500, 0.000], [0.191, 0.691, 0.500], [0.309, 0.191, 0.500], [0.691, 0.809, 0.500], [0.809, 0.309, 0.500]]}

---

23.
{"formula": "Pm2Ga4CoPt3", "functional": "PBE-GGA", "state": "optimized geometry", "dft_energy_ev_per_fu": -55.2, "cell": [[4.191, 0.000, 0.000], [0.000, 4.191, 0.000], [0.000, 0.000, 10.651]], "species": ["Pm", "Pm", "Ga", "Ga", "Ga", "Ga", "Co", "Pt", "Pt", "Pt"], "frac_coords": [[0.000, 0.500, 0.243], [0.500, 0.000, 0.757], [0.000, 0.000, 0.500], [0.000, 0.500, 0.876], [0.500, 0.000, 0.124], [0.500, 0.500, 0.500], [0.500, 0.500, 0.000], [0.000, 0.000, 0.000], [0.000, 0.500, 0.639], [0.500, 0.000, 0.361]]}

---

24.
{"formula": "ZrZn4Ni4", "functional": "PBE-GGA", "state": "optimized geometry", "dft_energy_ev_per_fu": -37.8, "cell": [[7.725, 0.000, 0.000], [0.000, 7.725, 0.000], [0.000, 0.000, 4.204]], "species": ["Zr", "Zr", "Zn", "Zn", "Zn", "Zn", "Zn", "Zn", "Zn", "Zn", "Ni", "Ni", "Ni", "Ni", "Ni", "Ni", "Ni", "Ni"], "frac_coords": [[0.250, 0.250, 0.250], [0.750, 0.750, 0.750], [0.110, 0.827, 0.700], [0.173, 0.610, 0.200], [0.327, 0.890, 0.200], [0.390, 0.673, 0.700], [0.610, 0.327, 0.300], [0.673, 0.110, 0.800], [0.827, 0.390, 0.800], [0.890, 0.173, 0.300], [0.046, 0.128, 0.797], [0.128, 0.454, 0.703], [0.372, 0.046, 0.703], [0.454, 0.372, 0.797], [0.546, 0.628, 0.203], [0.628, 0.954, 0.297], [0.872, 0.546, 0.297], [0.954, 0.872, 0.203]]}

---

25.
{"formula": "KBaCa2", "functional": "PBE-GGA", "state": "optimized geometry", "dft_energy_ev_per_fu": -6.6, "polymorph_energy_mev_per_atom": 17.4, "cell": [[2.072, 1.196, 14.091], [-2.072, 1.196, 14.091], [0.000, -2.392, 14.091]], "species": ["K", "Ba", "Ca", "Ca"], "frac_coords": [[0.000, 0.000, 0.000], [0.833, 0.833, 0.833], [0.419, 0.419, 0.419], [0.581, 0.581, 0.581]]}